[1]
The following is a SCAN calculation of a crystal of SrNiAuF2 relaxed with PBEsol, from Alexandria.

Cell: 4.2045 4.2045 4.8779 Å, 90.00 90.00 90.00°
Element x y z (fractional)
F1 0.0000 0.5000 0.0000
F2 0.5000 0.0000 0.0000
Au1 0.0000 0.0000 0.5000
Sr1 0.5000 0.5000 0.5000
Ni1 0.0000 0.0000 0.0000

Values from the calculation:
Magnetic moment   0.2686 μB/atom
Raw total energy   -24.61 eV/atom



[2]
The following is a SCAN calculation of a crystal of AuI2NO relaxed with PBEsol, from Alexandria.

Cell: 3.8602 5.6848 5.6848 Å, 90.00 90.00 90.00°
Element x y z (fractional)
I1 0.0000 0.0000 0.5000
I2 0.0000 0.5000 0.0000
Au1 0.0000 0.0000 0.0000
O1 0.5000 0.0000 0.0000
N1 0.5000 0.5000 0.5000

Values from the calculation:
Magnetic moment   0.6990 μB/atom
Raw total energy   -30.47 eV/atom



[3]
The following is a SCAN calculation of a crystal of Hf2ReBP relaxed with PBEsol, from Alexandria.

Cell: 4.3327 4.9918 4.9918 Å, 90.00 90.00 90.00°
Element x y z (fractional)
Re1 0.0000 0.0000 0.0000
Hf1 0.0000 0.0000 0.5000
Hf2 0.0000 0.5000 0.0000
B1 0.5000 0.5000 0.5000
P1 0.5000 0.0000 0.0000

Values from the calculation:
Magnetic moment   0.0000 μB/atom
Raw total energy   -41.70 eV/atom



[4]
The following is a SCAN calculation of a crystal of NaAs2N relaxed with PBEsol, from Alexandria.

Cell: 5.7695 5.7695 5.7695 Å, 103.86 112.35 112.35°
Element x y z (fractional)
Na1 0.0000 0.0000 0.0000
Na2 0.5000 0.7500 0.2500
N1 0.0000 0.5000 0.5000
N2 0.5000 0.2500 0.7500
As1 0.3862 0.5112 0.6250
As2 0.1138 0.8750 0.4888
As3 0.6138 0.2388 0.1250
As4 0.8862 0.3750 0.7612

Values from the calculation:
Magnetic moment   0.0000 μB/atom
Raw total energy   -13.10 eV/atom



[5]
The following is a SCAN calculation of a crystal of Ac2AgPb relaxed with PBEsol, from Alexandria.

Cell: 5.6429 5.6429 5.6429 Å, 60.00 60.00 60.00°
Element x y z (fractional)
Pb1 0.5000 0.5000 0.5000
Ac1 0.7500 0.7500 0.7500
Ac2 0.2500 0.2500 0.2500
Ag1 0.0000 0.0000 0.0000

Values from the calculation:
Magnetic moment   0.2002 μB/atom
Raw total energy   -72.57 eV/atom



[6]
The following is a SCAN calculation of a crystal of CdPbCl2 relaxed with PBEsol, from Alexandria.

Cell: 4.8349 5.3479 4.8349 Å, 63.13 90.00 116.87°
Element x y z (fractional)
Cd1 0.0000 0.0000 0.0000
Cl1 0.2500 0.5000 0.2500
Cl2 0.7500 0.5000 0.7500
Pb1 0.5000 0.0000 0.5000

Values from the calculation:
Magnetic moment   0.0000 μB/atom
Energy above the lowest structure with this stoichiometry   0.1853 eV/atom
Raw total energy   -31.10 eV/atom



[7]
The following is a SCAN calculation of a crystal of CaZn2Hg2 relaxed with PBEsol, from Alexandria.

Cell: 4.1180 4.1180 6.9011 Å, 107.36 107.36 90.00°
Element x y z (fractional)
Hg1 0.3876 0.3876 0.7751
Hg2 0.6124 0.6124 0.2249
Zn1 0.2500 0.7500 0.5000
Zn2 0.7500 0.2500 0.5000
Ca1 0.0000 0.0000 0.0000

Values from the calculation:
Magnetic moment   0.0000 μB/atom
Raw total energy   -34.93 eV/atom



[8]
The following is a SCAN calculation of a crystal of RbPd3Au relaxed with PBEsol, from Alexandria.

Cell: 4.8997 4.8997 4.8997 Å, 90.00 90.00 90.00°
Element x y z (fractional)
Pd1 0.5000 0.0000 0.0000
Pd2 0.0000 0.0000 0.5000
Pd3 0.0000 0.5000 0.0000
Au1 0.5000 0.5000 0.5000
Rb1 0.0000 0.0000 0.0000

Values from the calculation:
Magnetic moment   0.0000 μB/atom
Raw total energy   -36.00 eV/atom



[9]
The following is a SCAN calculation of a crystal of TePtSe2Br relaxed with PBEsol, from Alexandria.

Cell: 4.9281 4.9281 4.9286 Å, 90.00 90.00 90.00°
Element x y z (fractional)
Te1 0.5000 0.5000 0.5000
Pt1 0.0000 0.0000 0.0000
Se1 0.5000 0.0000 0.0000
Se2 0.0000 0.5000 0.0000
Br1 0.0000 0.0000 0.5000

Values from the calculation:
Magnetic moment   0.0000 μB/atom
Raw total energy   -33.09 eV/atom



[10]
The following is a SCAN calculation of a crystal of AlSiGe2C relaxed with PBEsol, from Alexandria.

Cell: 4.6370 4.7277 4.7277 Å, 90.00 90.00 90.00°
Element x y z (fractional)
C1 0.5000 0.5000 0.5000
Ge1 0.0000 0.5000 0.0000
Ge2 0.0000 0.0000 0.5000
Al1 0.0000 0.0000 0.0000
Si1 0.5000 0.0000 0.0000

Values from the calculation:
Magnetic moment   0.2221 μB/atom
Raw total energy   -11.19 eV/atom



[11]
The following is a SCAN calculation of a crystal of TaSb2W relaxed with PBEsol, from Alexandria.

Cell: 3.3184 4.9778 5.1104 Å, 107.09 108.95 90.00°
Element x y z (fractional)
Sb1 0.7609 0.2996 0.5217
Sb2 0.9867 0.9460 0.9734
Ta1 0.5115 0.4597 0.0230
W1 0.2409 0.7947 0.4819

Values from the calculation:
Magnetic moment   0.0000 μB/atom
Raw total energy   -52.38 eV/atom



[12]
The following is a SCAN calculation of a crystal of RbGaCu2C relaxed with PBEsol, from Alexandria.

Cell: 4.8282 5.2006 5.2006 Å, 90.00 90.00 90.00°
Element x y z (fractional)
C1 0.5000 0.0000 0.0000
Rb1 0.0000 0.0000 0.0000
Cu1 0.0000 0.0000 0.5000
Cu2 0.0000 0.5000 0.0000
Ga1 0.5000 0.5000 0.5000

Values from the calculation:
Magnetic moment   0.3546 μB/atom
Raw total energy   -12.92 eV/atom